InCoW2 | PBE | relaxed

Unit cell a=9.274 b=9.274 c=9.274 alpha=17.66 beta=17.66 gamma=17.66
Fractional coordinates of all 4 atoms:
1 In 0.000 0.000 0.000
2 Co 0.500 0.500 0.500
3 W 0.242 0.242 0.242
4 W 0.758 0.758 0.758

## Properties
M_tot, μB per cell: 0.6
E_form, eV per formula unit: 2.11


Mn12Fe17 | PBE | relaxed

Unit cell a=7.453 b=7.453 c=7.453 alpha=109.47 beta=109.47 gamma=109.47
Fractional coordinates of all 29 atoms:
1 Mn 0.000 0.190 0.372
2 Mn 0.000 0.372 0.190
3 Mn 0.181 0.810 0.810
4 Mn 0.190 0.000 0.372
5 Mn 0.190 0.372 0.000
6 Mn 0.372 0.000 0.190
7 Mn 0.372 0.190 0.000
8 Mn 0.628 0.628 0.819
9 Mn 0.628 0.819 0.628
10 Mn 0.810 0.181 0.810
11 Mn 0.810 0.810 0.181
12 Mn 0.819 0.628 0.628
13 Fe 0.000 0.000 0.000
14 Fe 0.000 0.000 0.643
15 Fe 0.000 0.391 0.679
16 Fe 0.000 0.643 0.000
17 Fe 0.000 0.679 0.391
18 Fe 0.289 0.609 0.609
19 Fe 0.321 0.321 0.711
20 Fe 0.321 0.711 0.321
21 Fe 0.357 0.357 0.357
22 Fe 0.391 0.000 0.679
23 Fe 0.391 0.679 0.000
24 Fe 0.609 0.289 0.609
25 Fe 0.609 0.609 0.289
26 Fe 0.643 0.000 0.000
27 Fe 0.679 0.000 0.391
28 Fe 0.679 0.391 0.000
29 Fe 0.711 0.321 0.321

## Properties
M_tot, μB per cell: 23.3
E_form, eV per formula unit: 1.39


SiSbI2Cl | PBE | relaxed

Unit cell a=6.076 b=6.076 c=5.228 alpha=90.00 beta=90.00 gamma=90.00
Fractional coordinates of all 5 atoms:
1 Si 0.000 0.000 0.000
2 Sb 0.500 0.500 0.500
3 I 0.000 0.500 0.500
4 I 0.500 0.000 0.500
5 Cl 0.500 0.500 0.000

## Properties
M_tot, μB per cell: 1.5
Polymorph energy (0 for the lowest one), meV/atom: 102


Hg2H2Rh | PBE | relaxed

Unit cell a=5.786 b=5.786 c=4.142 alpha=90.00 beta=90.00 gamma=90.00
Fractional coordinates of all 10 atoms:
1 Hg 0.249 0.251 0.000
2 Hg 0.251 0.751 0.000
3 Hg 0.749 0.249 0.000
4 Hg 0.751 0.749 0.000
5 H 0.249 0.251 0.500
6 H 0.251 0.751 0.500
7 H 0.749 0.249 0.500
8 H 0.751 0.749 0.500
9 Rh 0.000 0.000 0.500
10 Rh 0.500 0.500 0.500

## Properties
M_tot, μB per cell: 0.0
Polymorph energy (0 for the lowest one), meV/atom: 187


CdHgW2 | PBE | relaxed

Unit cell a=5.581 b=5.581 c=2.792 alpha=97.83 beta=97.83 gamma=120.15
Fractional coordinates of all 4 atoms:
1 Cd 0.000 0.000 0.000
2 Hg 0.500 0.500 0.000
3 W 0.000 0.500 0.500
4 W 0.500 0.000 0.500

## Properties
M_tot, μB per cell: 0.0
E_form, eV per formula unit: 3.07
Polymorph energy (0 for the lowest one), meV/atom: 338


Ta3Nb3Pd2 | PBE | relaxed

Unit cell a=7.138 b=7.138 c=4.743 alpha=109.34 beta=109.34 gamma=38.42
Fractional coordinates of all 8 atoms:
1 Ta 0.000 0.000 0.000
2 Ta 0.124 0.124 0.615
3 Ta 0.876 0.876 0.385
4 Nb 0.377 0.377 0.867
5 Nb 0.500 0.500 0.500
6 Nb 0.623 0.623 0.133
7 Pd 0.250 0.250 0.219
8 Pd 0.750 0.750 0.781

## Properties
M_tot, μB per cell: 0.0
E_form, eV per formula unit: -1.04


Ce6P3Se2Br | PBE | relaxed

Unit cell a=9.338 b=9.338 c=8.380 alpha=103.91 beta=103.91 gamma=25.58
Fractional coordinates of all 12 atoms:
1 Ce 0.004 0.004 0.232
2 Ce 0.326 0.326 0.425
3 Ce 0.337 0.337 0.908
4 Ce 0.663 0.663 0.092
5 Ce 0.674 0.674 0.575
6 Ce 0.996 0.996 0.768
7 P 0.166 0.166 0.333
8 P 0.500 0.500 0.000
9 P 0.834 0.834 0.667
10 Se 0.166 0.166 0.832
11 Se 0.834 0.834 0.168
12 Br 0.500 0.500 0.500

## Properties
M_tot, μB per cell: 4.9
Raw total energy, Ry per atom: -0.48826


VNi4Pd | PBE | relaxed

Unit cell a=4.669 b=4.669 c=4.669 alpha=60.00 beta=60.00 gamma=60.00
Fractional coordinates of all 6 atoms:
1 V 0.000 0.000 0.000
2 Ni 0.375 0.375 0.375
3 Ni 0.375 0.375 0.875
4 Ni 0.375 0.875 0.375
5 Ni 0.875 0.375 0.375
6 Pd 0.750 0.750 0.750

## Properties
M_tot, μB per cell: 0.0
E_form, eV per formula unit: -0.68
Polymorph energy (0 for the lowest one), meV/atom: 0


PmSmAgHg | PBE | relaxed

Unit cell a=5.319 b=5.319 c=5.319 alpha=60.00 beta=60.00 gamma=60.00
Fractional coordinates of all 4 atoms:
1 Pm 0.000 0.000 0.000
2 Sm 0.500 0.500 0.500
3 Ag 0.250 0.250 0.250
4 Hg 0.750 0.750 0.750

## Properties
M_tot, μB per cell: 0.0
E_form, eV per formula unit: -1.51


RbP2Pd4 | PBE | relaxed

Unit cell a=8.371 b=8.371 c=4.260 alpha=90.00 beta=90.00 gamma=150.53
Fractional coordinates of all 7 atoms:
1 Rb 0.000 0.000 0.000
2 P 0.367 0.633 0.500
3 P 0.633 0.367 0.500
4 Pd 0.191 0.809 0.500
5 Pd 0.310 0.690 0.000
6 Pd 0.690 0.310 0.000
7 Pd 0.809 0.191 0.500

## Properties
M_tot, μB per cell: 0.0
E_form, eV per formula unit: -3.04


NdHoThAl | PBE | relaxed

Unit cell a=5.435 b=5.435 c=5.435 alpha=60.00 beta=60.00 gamma=60.00
Fractional coordinates of all 4 atoms:
1 Nd 0.000 0.000 0.000
2 Ho 0.250 0.250 0.250
3 Th 0.500 0.500 0.500
4 Al 0.750 0.750 0.750

## Properties
M_tot, μB per cell: 0.0
E_form, eV per formula unit: -0.06


NpAg3Bi3Se8 | PBE | relaxed

Unit cell a=8.125 b=8.125 c=8.125 alpha=62.49 beta=62.49 gamma=62.49
Fractional coordinates of all 15 atoms:
1 Np 0.000 0.000 0.000
2 Ag 0.000 0.000 0.500
3 Ag 0.000 0.500 0.000
4 Ag 0.500 0.000 0.000
5 Bi 0.000 0.500 0.500
6 Bi 0.500 0.000 0.500
7 Bi 0.500 0.500 0.000
8 Se 0.238 0.755 0.755
9 Se 0.245 0.245 0.245
10 Se 0.245 0.245 0.762
11 Se 0.245 0.762 0.245
12 Se 0.755 0.238 0.755
13 Se 0.755 0.755 0.238
14 Se 0.755 0.755 0.755
15 Se 0.762 0.245 0.245

## Properties
M_tot, μB per cell: 3.0
Raw total energy, Ry per atom: -0.32983


SrZnGa4 | PBE | relaxed

Unit cell a=8.296 b=15.992 c=3.958 alpha=90.00 beta=90.00 gamma=90.00
Fractional coordinates of all 24 atoms:
1 Sr 0.128 0.150 0.000
2 Sr 0.372 0.650 0.000
3 Sr 0.628 0.350 0.000
4 Sr 0.872 0.850 0.000
5 Zn 0.137 0.411 0.000
6 Zn 0.363 0.911 0.000
7 Zn 0.637 0.089 0.000
8 Zn 0.863 0.589 0.000
9 Ga 0.019 0.694 0.500
10 Ga 0.113 0.548 0.500
11 Ga 0.135 0.967 0.500
12 Ga 0.213 0.814 0.500
13 Ga 0.287 0.314 0.500
14 Ga 0.365 0.467 0.500
15 Ga 0.387 0.048 0.500
16 Ga 0.481 0.194 0.500
17 Ga 0.519 0.806 0.500
18 Ga 0.613 0.952 0.500
19 Ga 0.635 0.533 0.500
20 Ga 0.713 0.686 0.500
21 Ga 0.787 0.186 0.500
22 Ga 0.865 0.033 0.500
23 Ga 0.887 0.452 0.500
24 Ga 0.981 0.306 0.500

## Properties
M_tot, μB per cell: 0.0
E_form, eV per formula unit: -1.33
Polymorph energy (0 for the lowest one), meV/atom: 0